A plane-wave DFT calculation with PBE-GGA was carried out for a geometry-optimized CuAgSb structure.

a = 4.784 Å, b = 4.781 Å, c = 5.243 Å
α = 90.00°, β = 90.00°, γ = 98.85°
Fractional coordinates of all 6 atoms:
Sb1 0.258 0.486 0.236
Sb2 0.887 0.113 0.736
Cu1 0.783 0.585 0.487
Cu2 0.783 0.585 0.986
Ag1 0.599 0.048 0.236
Ag2 0.325 0.774 0.736

Output
DFT total energy = -3.59 eV/atom
N(E_F) = 3.171 states/eV per cell
E_form (uncorrected) = 0.101 eV/atom
Excess energy over the best structure of this formula in the dataset = 0.058 eV/atom